This record from Alexandria via LeMat-Bulk describes a relaxed La3Sn3Pd crystal. The functional is PBE-GGA.

Cell lengths 4.7476, 6.2936, 14.8875 Å; angles 84.63, 80.84, 67.88 degrees
Closest atoms and distances in Å follow each position.
Element x y z (fractional)
La (0.0350, 0.3134, 0.1160)  7 Sn 3.31-3.58, 4 Pd 3.38-3.57
La (0.0965, 0.7281, 0.5785)  7 Sn 3.24-3.52
La (0.2435, 0.7463, 0.2667)  6 Sn 3.31-3.41, 2 Pd 3.42
La (0.7565, 0.2537, 0.7333)  6 Sn 3.31-3.41, 2 Pd 3.42
La (0.9035, 0.2719, 0.4215)  7 Sn 3.24-3.52
La (0.9650, 0.6866, 0.8840)  7 Sn 3.31-3.58, 4 Pd 3.38-3.57
Sn (0.3606, 0.7393, 0.0414)  3 Pd 2.75-2.99
Sn (0.3754, 0.1730, 0.5767)  2 Sn 3.01-3.08, 5 La 3.24-3.35
Sn (0.4654, 0.8333, 0.7360)  1 Pd 2.81, 1 Sn 3.01
Sn (0.5346, 0.1667, 0.2640)  1 Pd 2.81, 1 Sn 3.01
Sn (0.6246, 0.8270, 0.4233)  2 Sn 3.01-3.08, 5 La 3.24-3.35
Sn (0.6394, 0.2607, 0.9586)  3 Pd 2.75-2.99
Pd (0.2532, 0.0998, 0.8915)  4 Sn 2.75-2.99
Pd (0.7468, 0.9002, 0.1085)  4 Sn 2.75-2.99

Results
The formation energy comes out at -0.85 eV/atom. As for the total magnetization: 0.0 Bohr magnetons per cell. The calculation puts the volume at 406.6 Å³ per cell.